Here is a relaxed Cd2TcO4 crystal from the Open Quantum Materials Database. Energies are from PBE.

Cell lengths 6.013, 6.013, 3.378 Å; angles 90.00, 90.00, 90.00 degrees
Space group P-42m (No. 111)
Unique sites:
Cd (0.000, 0.500, 0.000) x2
Tc (0.000, 0.000, 0.000) x1
O (0.200, 0.200, 0.239) x4

calculated total energy: -5.3305 eV/atom
mass density: 5.259 g cm⁻³

Here is a relaxed ThNbIr crystal from the Open Quantum Materials Database. Energies are from PBE.

Cell lengths 6.666, 6.666, 6.666 Å; angles 90.00, 90.00, 90.00 degrees
Space group F-43m (No. 216)
Unique sites:
Th (0.000, 0.000, 0.000) x4
Nb (0.000, 0.000, 0.500) x4
Ir (0.250, 0.250, 0.750) x4

calculated total energy: -8.7885 eV/atom
ΔH_f (0 K): 0.0 eV per formula unit
energy relative to the lowest polymorph listed for this composition: 0.000 eV per atom
mass density: 11.599 g cm⁻³

Here is a relaxed GdZnPd crystal from the Open Quantum Materials Database. Energies are from PBE.

Cell lengths 7.2214, 7.2214, 3.9354 Å; angles 90.00, 90.00, 120.00 degrees
Space group P-62m (No. 189)
Unique sites:
Gd (0.0000, 0.5930, 0.0000) x3
Zn (0.0000, 0.0000, 0.0000) x1
Zn (0.3333, 0.6667, 0.5000) x2
Pd (0.0000, 0.2519, 0.5000) x3

calculated total energy: -4.3314 eV/atom
ΔH_f (0 K): -1.9 eV per formula unit
energy relative to the lowest polymorph listed for this composition: 0.112 eV per atom
mass density: 9.224 g cm⁻³

Here is a relaxed LaReAs crystal from the Open Quantum Materials Database. Energies are from PBE.

Cell lengths 6.490, 6.490, 6.490 Å; angles 90.00, 90.00, 90.00 degrees
Space group F-43m (No. 216)
Unique sites:
La (0.000, 0.000, 0.000) x4
Re (0.250, 0.250, 0.750) x4
As (0.000, 0.000, 0.500) x4

calculated total energy: -7.0900 eV/atom
energy relative to the lowest polymorph listed for this composition: 0.000 eV per atom
mass density: 9.722 g cm⁻³

Here is a relaxed PrNbN2O crystal from the Open Quantum Materials Database. Energies are from PBE.

Cell lengths 6.3957, 6.3957, 12.6253 Å; angles 90.00, 90.00, 120.00 degrees
Space group P6_3cm (No. 185)
Unique sites:
Pr (0.0000, 0.0000, 0.0000) x2
Pr (0.3333, 0.6667, 0.4575) x4
Nb (0.0000, 0.3341, 0.2249) x6
N (0.0000, 0.3056, 0.3797) x6
N (0.0000, 0.3612, 0.0722) x6
O (0.0000, 0.0000, 0.2047) x2
O (0.3333, 0.6667, 0.2405) x4

calculated total energy: -8.5383 eV/atom
mass density: 6.189 g cm⁻³

Here is a relaxed Tb2DyZn4Ge4 crystal from the Open Quantum Materials Database. Energies are from PBE.

Cell lengths 4.059, 4.197, 25.266 Å; angles 90.00, 90.00, 90.00 degrees
Space group Immm (No. 71)
Unique sites:
Tb (0.000, 0.000, 0.143) x4
Dy (0.000, 0.500, 0.000) x2
Zn (0.000, 0.000, 0.406) x4
Zn (0.000, 0.500, 0.251) x4
Ge (0.000, 0.000, 0.311) x4
Ge (0.000, 0.500, 0.451) x4

calculated total energy: -3.9278 eV/atom
mass density: 7.968 g cm⁻³

Here is a relaxed KNbTe crystal from the Open Quantum Materials Database. Energies are from PBE.

Cell lengths 7.365, 7.365, 7.365 Å; angles 90.00, 90.00, 90.00 degrees
Space group F-43m (No. 216)
Unique sites:
K (0.000, 0.000, 0.000) x4
Nb (0.000, 0.000, 0.500) x4
Te (0.250, 0.250, 0.750) x4

calculated total energy: -4.1756 eV/atom
energy relative to the lowest polymorph listed for this composition: 0.000 eV per atom
mass density: 4.317 g cm⁻³

Here is a relaxed HfPPbO crystal from the Open Quantum Materials Database. Energies are from PBE.

Cell lengths 4.382, 4.382, 8.920 Å; angles 90.00, 90.00, 90.00 degrees
Space group P4/nmm (No. 129, origin choice 2)
Unique sites:
Hf (0.250, 0.750, 0.000) x2
P (0.250, 0.250, 0.143) x2
Pb (0.250, 0.250, 0.615) x2
O (0.250, 0.750, 0.500) x2

calculated total energy: -6.7745 eV/atom
energy relative to the lowest polymorph listed for this composition: 0.526 eV per atom
mass density: 8.389 g cm⁻³

Here is a relaxed Hf2HgSb crystal from the Open Quantum Materials Database. Energies are from PBE.

Cell lengths 7.188, 7.188, 7.188 Å; angles 90.00, 90.00, 90.00 degrees
Space group F-43m (No. 216)
Unique sites:
Hf (0.000, 0.000, 0.000) x4
Hf (0.250, 0.250, 0.250) x4
Hg (0.250, 0.250, 0.750) x4
Sb (0.000, 0.000, 0.500) x4

calculated total energy: -5.7174 eV/atom
mass density: 12.150 g cm⁻³

Here is a relaxed ZnSbPbF crystal from the Open Quantum Materials Database. Energies are from PBE.

Cell lengths 6.103, 6.112, 9.270 Å; angles 90.00, 90.00, 90.00 degrees
Space group Cmme (No. 67)
Unique sites:
Zn (0.000, 0.250, 0.126) x4
Sb (0.000, 0.250, 0.756) x4
Pb (0.250, 0.000, 0.500) x4
F (0.250, 0.000, 0.000) x4

calculated total energy: -3.1235 eV/atom
energy relative to the lowest polymorph listed for this composition: 0.466 eV per atom
mass density: 7.940 g cm⁻³

Here is a relaxed KCoCuTeSe2 crystal from the Open Quantum Materials Database. Energies are from PBE.

Cell lengths 3.633, 15.424, 9.987 Å; angles 90.00, 90.00, 90.00 degrees
Space group Cmcm (No. 63)
Unique sites:
K (0.000, 0.234, 0.250) x4
Co (0.000, 0.000, 0.000) x4
Cu (0.000, 0.449, 0.750) x4
Te (0.000, 0.068, 0.750) x4
Se (0.000, 0.396, 0.530) x8

calculated total energy: -4.0452 eV/atom
mass density: 5.307 g cm⁻³

Here is a relaxed Be2TlCo crystal from the Open Quantum Materials Database. Energies are from PBE.

Cell lengths 5.888, 5.888, 5.888 Å; angles 90.00, 90.00, 90.00 degrees
Space group F-43m (No. 216)
Unique sites:
Be (0.000, 0.000, 0.000) x4
Be (0.250, 0.250, 0.250) x4
Tl (0.000, 0.000, 0.500) x4
Co (0.250, 0.250, 0.750) x4

calculated total energy: -3.6732 eV/atom
mass density: 9.155 g cm⁻³